## NaSr2Pt2 (SCAN)

Data for a crystal of NaSr2Pt2 relaxed with PBEsol.

- Energy of formation: -3.5 eV/f.u.

Unit cell a=4.128 b=7.935 c=7.935 alpha=90.00 beta=90.00 gamma=90.00
Fractional coordinates of all 10 atoms:
1 Sr 0.500 0.831 0.331
2 Sr 0.500 0.169 0.669
3 Sr 0.500 0.331 0.169
4 Pt 0.000 0.380 0.880
5 Na 0.000 0.500 0.500
6 Pt 0.000 0.120 0.380
7 Pt 0.000 0.620 0.120
8 Pt 0.000 0.880 0.620
9 Sr 0.500 0.669 0.831
10 Na 0.000 0.000 0.000